DFT (GGA-PBE) results for CuAgW2 after structural relaxation.

The structure in POSCAR format:
```
CuAgW2
1.0
2.660 0.000 0.000
0.000 4.443 0.000
-0.821 0.000 5.251
Cu Ag W
1 1 2
Cartesian
0.000 0.000 0.000 Cu
-0.411 0.000 2.625 Ag
1.032 2.221 1.240 W
0.807 2.221 4.011 W
```

Properties
energy relative to the elements	555.4	meV/atom
DFT total energy	-7.6580	eV/atom
space-group type	No. 10

=====

DFT (GGA-PBE) results for Cu2AgW after structural relaxation.

The structure in POSCAR format:
```
Cu2AgW
1.0
1.382 0.798 8.927
-1.382 0.798 8.927
0.000 -1.596 8.927
Cu Ag W
2 1 1
Cartesian
0.000 0.000 6.660 Cu
0.000 0.000 20.122 Cu
0.000 0.000 0.000 Ag
0.000 0.000 13.391 W
```

Properties
energy relative to the elements	319.4	meV/atom
DFT total energy	-5.6798	eV/atom
space-group type	No. 166

=====

DFT (GGA-PBE) results for Cu2AgW after structural relaxation.

The structure in POSCAR format:
```
Cu2AgW
1.0
-3.426 3.426 2.706
3.426 -3.426 2.706
3.426 3.426 -2.706
Cu Ag W
4 2 2
Cartesian
1.713 1.671 -0.677 Cu
1.755 -1.713 3.383 Cu
1.713 1.755 2.030 Cu
1.671 5.139 0.677 Cu
3.426 0.000 1.353 Ag
0.000 0.000 2.706 Ag
0.000 0.000 0.000 W
0.000 3.426 1.353 W
```

Properties
energy relative to the elements	1017.6	meV/atom
DFT total energy	-4.9816	eV/atom
space-group type	No. 122

=====

DFT (GGA-PBE) results for CuAg2W after structural relaxation.

The structure in POSCAR format:
```
CuAg2W
1.0
2.700 0.000 0.000
0.000 3.953 0.000
0.000 0.000 6.035
Cu Ag W
1 2 1
Cartesian
0.000 0.000 0.000 Cu
0.000 0.000 2.813 Ag
1.350 1.977 4.440 Ag
1.350 1.977 1.226 W
```

Properties
energy relative to the elements	509.9	meV/atom
DFT total energy	-5.1781	eV/atom
space-group type	No. 25

=====

DFT (GGA-PBE) results for CuAg2W after structural relaxation.

The structure in POSCAR format:
```
CuAg2W
1.0
-3.616 3.616 2.639
3.616 -3.616 2.639
3.616 3.616 -2.639
Cu Ag W
2 4 2
Cartesian
0.000 0.000 0.000 Cu
0.000 3.616 1.320 Cu
5.424 1.649 -0.660 Ag
1.649 1.808 0.660 Ag
-1.808 1.967 1.979 Ag
1.967 1.808 3.299 Ag
3.616 0.000 1.320 W
0.000 0.000 2.639 W
```

Properties
energy relative to the elements	1163.0	meV/atom
DFT total energy	-4.5249	eV/atom
space-group type	No. 122

=====

DFT (GGA-PBE) results for Cu2AgW after structural relaxation.

The structure in POSCAR format:
```
Cu2AgW
1.0
2.727 0.000 0.000
0.000 2.727 0.000
0.000 0.000 7.823
Cu Ag W
2 1 1
Cartesian
0.000 0.000 1.903 Cu
0.000 0.000 5.921 Cu
1.363 1.363 3.912 Ag
1.363 1.363 0.000 W
```

Properties
energy relative to the elements	261.7	meV/atom
DFT total energy	-5.7375	eV/atom
space-group type	No. 123

=====

DFT (GGA-PBE) results for CuAgW2 after structural relaxation.

The structure in POSCAR format:
```
CuAgW2
1.0
3.754 0.000 0.000
0.000 3.754 0.000
0.000 0.000 4.376
Cu Ag W
1 1 2
Cartesian
0.000 0.000 0.000 Cu
1.877 1.877 0.000 Ag
0.000 1.877 2.188 W
1.877 0.000 2.188 W
```

Properties
energy relative to the elements	555.7	meV/atom
DFT total energy	-7.6577	eV/atom
space-group type	No. 123

=====

DFT (GGA-PBE) results for CuAg2W after structural relaxation.

The structure in POSCAR format:
```
CuAg2W
1.0
2.745 0.000 0.000
0.000 2.745 0.000
0.000 0.000 8.385
Cu Ag W
1 2 1
Cartesian
0.000 0.000 0.000 Cu
1.373 1.373 1.963 Ag
1.373 1.373 6.422 Ag
0.000 0.000 4.193 W
```

Properties
energy relative to the elements	439.3	meV/atom
DFT total energy	-5.2487	eV/atom
space-group type	No. 123

=====

DFT (GGA-PBE) results for Cu2AgW after structural relaxation.

The structure in POSCAR format:
```
Cu2AgW
1.0
2.638 0.000 0.000
0.000 3.956 0.000
0.000 0.000 5.607
Cu Ag W
2 1 1
Cartesian
0.000 0.000 0.000 Cu
1.319 1.978 1.370 Cu
1.319 1.978 4.228 Ag
0.000 0.000 2.609 W
```

Properties
energy relative to the elements	467.8	meV/atom
DFT total energy	-5.5314	eV/atom
space-group type	No. 25

=====

DFT (GGA-PBE) results for CuAgW2 after structural relaxation.

The structure in POSCAR format:
```
CuAgW2
1.0
-1.553 2.347 4.363
1.553 -2.347 4.363
1.553 2.347 -4.363
Cu Ag W
1 1 2
Cartesian
0.000 0.000 0.000 Cu
0.000 2.347 2.231 Ag
1.553 0.000 2.157 W
0.000 0.000 4.164 W
```

Properties
energy relative to the elements	640.5	meV/atom
DFT total energy	-7.5730	eV/atom
space-group type	No. 44

=====

DFT (GGA-PBE) results for Cu2AgW after structural relaxation.

The structure in POSCAR format:
```
Cu2AgW
1.0
0.000 3.078 3.078
3.078 0.000 3.078
3.078 3.078 0.000
Cu Ag W
2 1 1
Cartesian
0.000 0.000 0.000 Cu
1.539 1.539 1.539 Cu
3.078 3.078 3.078 Ag
4.616 4.616 4.616 W
```

Properties
energy relative to the elements	708.2	meV/atom
DFT total energy	-5.2910	eV/atom
space-group type	No. 216

=====

DFT (GGA-PBE) results for Cu2AgW after structural relaxation.

The structure in POSCAR format:
```
Cu2AgW
1.0
-1.965 1.965 3.752
1.965 -1.965 3.752
1.965 1.965 -3.752
Cu Ag W
2 1 1
Cartesian
0.000 0.000 0.000 Cu
0.000 1.965 1.876 Cu
0.000 0.000 3.752 Ag
1.965 0.000 1.876 W
```

Properties
energy relative to the elements	675.4	meV/atom
DFT total energy	-5.3238	eV/atom
space-group type	No. 119

=====

DFT (GGA-PBE) results for Cu2AgW after structural relaxation.

The structure in POSCAR format:
```
Cu2AgW
1.0
-1.332 2.447 4.632
1.332 -2.447 4.632
1.332 2.447 -4.632
Cu Ag W
2 1 1
Cartesian
0.000 0.000 2.285 Cu
0.000 0.000 6.978 Cu
0.000 2.447 0.000 Ag
1.332 0.000 0.000 W
```

Properties
energy relative to the elements	598.4	meV/atom
DFT total energy	-5.4008	eV/atom
space-group type	No. 71

=====

DFT (GGA-PBE) results for CuAg2W after structural relaxation.

The structure in POSCAR format:
```
CuAg2W
1.0
2.894 -4.197 0.000
2.894 4.197 0.000
0.000 0.000 2.665
Cu Ag W
1 2 1
Cartesian
0.000 0.000 0.000 Cu
1.447 2.098 1.333 Ag
1.447 -2.098 1.333 Ag
2.894 0.000 0.000 W
```

Properties
energy relative to the elements	642.1	meV/atom
DFT total energy	-5.0459	eV/atom
space-group type	No. 65

=====

DFT (GGA-PBE) results for Y2CuAg2 after structural relaxation.

The structure in POSCAR format:
```
Y2CuAg2
1.0
7.337 0.000 0.000
0.000 7.337 0.000
0.000 0.000 4.259
Y Cu Ag
4 2 4
Cartesian
1.274 2.394 0.000 Y
2.394 6.063 0.000 Y
4.943 1.274 0.000 Y
6.063 4.943 0.000 Y
0.000 0.000 2.129 Cu
3.668 3.668 2.129 Cu
0.979 4.648 2.129 Ag
2.689 0.979 2.129 Ag
4.648 6.358 2.129 Ag
6.358 2.689 2.129 Ag
```

Properties
energy relative to the elements	-132.9	meV/atom
DFT total energy	-4.6782	eV/atom
space-group type	No. 127

=====

DFT (GGA-PBE) results for YCuAg2 after structural relaxation.

The structure in POSCAR format:
```
YCuAg2
1.0
3.452 0.000 0.000
0.000 3.452 0.000
0.000 0.000 6.571
Y Cu Ag
1 1 2
Cartesian
0.000 0.000 0.000 Y
0.000 0.000 3.285 Cu
1.726 1.726 1.904 Ag
1.726 1.726 4.667 Ag
```

Properties
energy relative to the elements	-92.6	meV/atom
DFT total energy	-4.1583	eV/atom
space-group type	No. 123

=====

DFT (GGA-PBE) results for YCuAg2 after structural relaxation.

The structure in POSCAR format:
```
YCuAg2
1.0
1.599 0.923 9.038
-1.599 0.923 9.038
0.000 -1.846 9.038
Y Cu Ag
1 1 2
Cartesian
0.000 0.000 0.000 Y
0.000 0.000 13.558 Cu
0.000 0.000 6.473 Ag
0.000 0.000 20.642 Ag
```

Properties
energy relative to the elements	172.7	meV/atom
DFT total energy	-3.8930	eV/atom
space-group type	No. 166

=====

DFT (GGA-PBE) results for YCu2Ag2 after structural relaxation.

The structure in POSCAR format:
```
YCu2Ag2
1.0
7.265 0.000 0.000
0.000 7.265 0.000
0.000 0.000 3.419
Y Cu Ag
2 4 4
Cartesian
0.000 0.000 0.000 Y
3.633 3.633 0.000 Y
0.875 2.757 0.000 Cu
2.757 6.390 0.000 Cu
4.508 0.875 0.000 Cu
6.390 4.508 0.000 Cu
1.247 4.880 1.709 Ag
2.385 1.247 1.709 Ag
4.880 6.018 1.709 Ag
6.018 2.385 1.709 Ag
```

Properties
energy relative to the elements	-22.6	meV/atom
DFT total energy	-4.0944	eV/atom
space-group type	No. 127

=====

DFT (GGA-PBE) results for YCu2Ag2 after structural relaxation.

The structure in POSCAR format:
```
YCu2Ag2
1.0
-2.002 2.002 5.839
2.002 -2.002 5.839
2.002 2.002 -5.839
Y Cu Ag
1 2 2
Cartesian
0.000 0.000 0.000 Y
0.000 0.000 4.668 Cu
0.000 0.000 7.011 Cu
2.002 0.000 2.920 Ag
0.000 2.002 2.920 Ag
```

Properties
energy relative to the elements	-108.6	meV/atom
DFT total energy	-4.1804	eV/atom
space-group type	No. 139

=====

DFT (GGA-PBE) results for YCu5Ag after structural relaxation.

The structure in POSCAR format:
```
YCu5Ag
1.0
8.166 0.000 0.000
0.000 5.050 0.000
0.000 0.000 10.368
Y Cu Ag
4 20 4
Cartesian
1.991 1.263 0.671 Y
2.092 3.788 5.855 Y
6.075 1.263 4.513 Y
6.175 3.788 9.697 Y
0.455 3.788 1.091 Cu
0.554 0.013 3.251 Cu
0.554 2.512 3.251 Cu
0.726 1.263 5.363 Cu
1.512 1.263 7.738 Cu
2.571 3.788 2.555 Cu
3.357 3.788 0.179 Cu
3.529 2.538 8.435 Cu
3.529 5.037 8.435 Cu
3.628 1.263 6.275 Cu
4.538 3.788 4.093 Cu
4.637 0.013 1.933 Cu
4.637 2.512 1.933 Cu
4.809 1.263 10.188 Cu
5.595 1.263 7.813 Cu
6.655 3.788 2.629 Cu
7.441 3.788 5.005 Cu
7.613 2.538 7.117 Cu
7.613 5.037 7.117 Cu
7.712 1.263 9.277 Cu
1.116 3.788 8.933 Ag
2.967 1.263 3.749 Ag
5.199 3.788 6.619 Ag
7.050 1.263 1.435 Ag
```

Properties
energy relative to the elements	-165.1	meV/atom
DFT total energy	-4.4217	eV/atom
space-group type	No. 62

=====

DFT (GGA-PBE) results for Y2Cu2Ag after structural relaxation.

The structure in POSCAR format:
```
Y2Cu2Ag
1.0
1.985 -7.134 0.000
1.985 7.134 0.000
0.000 0.000 3.684
Y Cu Ag
2 2 1
Cartesian
1.985 5.324 0.000 Y
1.985 -5.324 0.000 Y
1.985 2.857 1.842 Cu
1.985 -2.857 1.842 Cu
1.985 0.000 1.842 Ag
```

Properties
energy relative to the elements	-281.5	meV/atom
DFT total energy	-5.0758	eV/atom
space-group type	No. 65

=====

DFT (GGA-PBE) results for YCuAg2 after structural relaxation.

The structure in POSCAR format:
```
YCuAg2
1.0
2.865 -5.096 0.000
2.865 5.096 0.000
-1.730 0.000 2.771
Y Cu Ag
1 1 2
Cartesian
0.000 0.000 0.000 Y
2.865 0.000 0.000 Cu
0.567 2.548 1.386 Ag
0.567 -2.548 1.386 Ag
```

Properties
energy relative to the elements	96.1	meV/atom
DFT total energy	-3.9696	eV/atom
space-group type	No. 12

=====

DFT (GGA-PBE) results for Y2CuAg after structural relaxation.

The structure in POSCAR format:
```
Y2CuAg
1.0
0.000 3.475 3.475
3.475 0.000 3.475
3.475 3.475 0.000
Y Cu Ag
2 1 1
Cartesian
0.000 0.000 0.000 Y
1.737 1.737 1.737 Y
5.212 5.212 5.212 Cu
3.475 3.475 3.475 Ag
```

Properties
energy relative to the elements	20.1	meV/atom
DFT total energy	-4.9487	eV/atom
space-group type	No. 216

=====

DFT (GGA-PBE) results for Y8CuAg2 after structural relaxation.

The structure in POSCAR format:
```
Y8CuAg2
1.0
3.647 -8.365 0.000
3.647 8.365 0.000
-3.056 0.000 5.133
Y Cu Ag
8 1 2
Cartesian
0.000 0.000 0.000 Y
2.225 6.440 2.479 Y
2.827 1.958 0.695 Y
1.321 0.000 3.408 Y
2.828 3.273 4.121 Y
2.827 -1.958 0.695 Y
2.225 -6.440 2.479 Y
2.828 -3.273 4.121 Y
3.826 0.000 2.383 Cu
4.344 4.520 1.552 Ag
4.344 -4.520 1.552 Ag
```

Properties
energy relative to the elements	-69.5	meV/atom
DFT total energy	-5.6614	eV/atom
space-group type	No. 8

=====

DFT (GGA-PBE) results for Y2CuAg after structural relaxation.

The structure in POSCAR format:
```
Y2CuAg
1.0
3.560 0.000 0.000
0.000 3.560 0.000
0.000 0.000 7.164
Y Cu Ag
2 1 1
Cartesian
0.000 0.000 1.696 Y
0.000 0.000 5.469 Y
1.780 1.780 0.000 Cu
1.780 1.780 3.582 Ag
```

Properties
energy relative to the elements	-283.7	meV/atom
DFT total energy	-5.2526	eV/atom
space-group type	No. 123

=====

DFT (GGA-PBE) results for Y2CuAg after structural relaxation.

The structure in POSCAR format:
```
Y2CuAg
1.0
1.780 1.028 9.006
-1.780 1.028 9.006
0.000 -2.056 9.006
Y Cu Ag
2 1 1
Cartesian
0.000 0.000 0.000 Y
0.000 0.000 6.033 Y
0.000 0.000 20.020 Cu
0.000 0.000 12.692 Ag
```

Properties
energy relative to the elements	92.4	meV/atom
DFT total energy	-4.8765	eV/atom
space-group type	No. 160

=====

DFT (GGA-PBE) results for Y3Cu4Ag2 after structural relaxation.

The structure in POSCAR format:
```
Y3Cu4Ag2
1.0
5.244 -2.215 0.000
5.244 2.215 0.000
-3.321 0.000 7.705
Y Cu Ag
3 4 2
Cartesian
0.000 0.000 0.000 Y
2.593 0.000 2.450 Y
4.575 0.000 5.255 Y
-0.647 0.000 3.147 Cu
-0.332 0.000 7.296 Cu
7.500 0.000 0.409 Cu
7.815 0.000 4.557 Cu
1.483 0.000 5.417 Ag
5.685 0.000 2.287 Ag
```

Properties
energy relative to the elements	-235.8	meV/atom
DFT total energy	-4.8446	eV/atom
space-group type	No. 12